Sm2Al3PdAu12 | the Alexandria database | PBE-GGA | optimized geometry; electronic total energy = -67.7 eV/cell; energy of formation = -0.14 eV/atom; DOS at the Fermi energy = 0.49 states/eV/atom; magnetic moment = 0.00 μB per cell
1.0
-5.513 5.768 0.049
-7.266 -2.537 2.107
-2.183 2.277 7.329
Sm Al Pd Au
2 3 1 12
direct
0.610 0.610 0.610
0.390 0.390 0.390
0.500 0.000 0.000
0.000 0.500 0.000
0.000 0.000 0.500
0.000 0.000 0.000
0.360 0.360 0.887
0.860 0.860 0.378
0.378 0.860 0.860
0.887 0.360 0.360
0.860 0.378 0.860
0.360 0.887 0.360
0.640 0.640 0.113
0.140 0.140 0.622
0.622 0.140 0.140
0.113 0.640 0.640
0.140 0.622 0.140
0.640 0.113 0.640

=====

SmAl2Pd2Au | the Alexandria database | PBE-GGA | optimized geometry; electronic total energy = -28.1 eV/cell; energy of formation = -0.37 eV/atom; DOS at the Fermi energy = 0.59 states/eV/atom; magnetic moment = 0.00 μB per cell
1.0
4.721 0.000 0.000
0.000 4.721 0.000
0.000 0.000 5.706
Sm Al Pd Au
1 2 2 1
direct
0.000 0.000 0.500
0.500 0.000 0.000
0.000 0.500 0.000
0.500 0.500 0.746
0.500 0.500 0.254
0.000 0.000 0.000

=====

SrAl3PdAu | the Alexandria database | PBE-GGA | optimized geometry; electronic total energy = -48.4 eV/cell; energy of formation = -0.47 eV/atom; DOS at the Fermi energy = 0.40 states/eV/atom; magnetic moment = 0.00 μB per cell
1.0
5.995 0.000 0.000
0.000 6.586 0.000
0.000 -3.293 6.390
Sr Al Pd Au
2 6 2 2
direct
0.750 0.273 0.546
0.250 0.727 0.454
0.250 0.147 0.293
0.000 0.300 0.000
0.500 0.700 0.000
0.500 0.300 0.000
0.000 0.700 0.000
0.750 0.853 0.707
0.250 0.956 0.911
0.750 0.044 0.089
0.250 0.352 0.703
0.750 0.648 0.297

=====

SrAl2Pd2Au | the Alexandria database | PBE-GGA | optimized geometry; electronic total energy = -25.2 eV/cell; energy of formation = -0.39 eV/atom; DOS at the Fermi energy = 0.41 states/eV/atom; magnetic moment = 0.00 μB per cell
1.0
-2.792 0.250 -3.869
2.582 -3.436 -2.085
-3.557 -4.070 2.304
Sr Al Pd Au
1 2 2 1
direct
0.000 0.000 0.500
0.500 0.000 0.000
0.000 0.500 0.000
0.500 0.500 0.759
0.500 0.500 0.241
0.000 0.000 0.000

=====

SrAlPd2Au | the Alexandria database | PBE-GGA | optimized geometry; electronic total energy = -19.4 eV/cell; energy of formation = -0.06 eV/atom; DOS at the Fermi energy = 0.47 states/eV/atom; magnetic moment = 0.00 μB per cell
1.0
-0.792 0.022 -5.156
-4.024 -2.245 0.608
-2.488 4.567 0.402
Sr Au Al Pd
1 1 1 2
direct
0.500 0.500 0.500
0.000 0.000 0.000
0.000 0.500 0.000
0.000 0.000 0.500
0.500 0.000 0.000

=====

Sr2Al4Pd3Au | the Alexandria database | PBE-GGA | optimized geometry; electronic total energy = -44.4 eV/cell; energy of formation = -0.72 eV/atom; DOS at the Fermi energy = 0.55 states/eV/atom; magnetic moment = 0.00 μB per cell
1.0
-2.103 2.847 -2.825
-3.946 -2.039 0.882
-1.606 6.427 7.672
Sr Al Pd Au
2 4 3 1
direct
0.500 0.000 0.254
0.000 0.500 0.746
0.500 0.500 0.000
0.000 0.000 0.000
0.500 0.000 0.624
0.000 0.500 0.376
0.000 0.000 0.500
0.500 0.000 0.876
0.000 0.500 0.124
0.500 0.500 0.500